This record from Alexandria describes an optimized crystal structure of CeAl2Tc. The functional is GGA-PBE.

## Properties
The distance to the lowest polymorph of the same formula is 296 meV/atom. For the magnetization, the calculation gives 0.46 μB/f.u. The calculation puts the density of states at the Fermi level at 1.545 states/eV/atom. As for the calculated formation energy: -0.794 eV/f.u. As for the space group: R-3m.

Cell lengths 5.6959, 5.6959, 5.6959 Å; angles 44.46, 44.46, 44.46 degrees
Closest atoms and distances in Å follow each position.
Positions (direct):
Ce 0.0000 0.0000 0.0000  8 Al 3.15-3.20
Al 0.2081 0.2081 0.2081  3 Tc 2.57, 3 Al 2.80
Al 0.7919 0.7919 0.7919  3 Tc 2.57, 3 Al 2.80
Tc 0.5000 0.5000 0.5000  6 Al 2.57